1.
Computed, not measured: a geometry-optimized AlP2Br structure at the GGA-PBE level of DFT.

POSCAR file:
```
AlP2Br
1.0
-1.281 -3.538 -0.920
3.620 1.289 0.488
-0.427 -2.124 8.766
P Br Al
2 1 1
direct
0.500 0.500 0.257
0.000 0.000 0.099
0.500 0.500 0.676
0.000 0.000 0.468
```

Polymorph energy (0 for the lowest one): 226 meV per atom
Space-group type: Cmm2
Total moment: 0.0 μB/f.u.
Raw formation energy: 79 meV/atom
Fermi-level density of states: 2.31 states/eV/cell



2.
Computed, not measured: a geometry-optimized AlPBr2 structure at the GGA-PBE level of DFT.

POSCAR file:
```
AlPBr2
1.0
-9.061 -2.749 0.817
-8.494 -1.455 4.008
-9.377 0.679 1.391
P Br Al
1 2 1
direct
0.000 0.000 0.000
0.090 0.090 0.090
0.910 0.910 0.910
0.500 0.500 0.500
```

Polymorph energy (0 for the lowest one): 893 meV per atom
Space-group type: R-3m
Total moment: 0.0 μB/f.u.
Raw formation energy: 301 meV/atom
Fermi-level density of states: 1.63 states/eV/cell



3.
Computed, not measured: a geometry-optimized AlP2Br structure at the GGA-PBE level of DFT.

POSCAR file:
```
AlP2Br
1.0
0.000 3.291 3.291
3.291 0.000 3.291
3.291 3.291 0.000
Br P Al
1 2 1
direct
0.500 0.500 0.500
0.250 0.250 0.250
0.750 0.750 0.750
0.000 0.000 0.000
```

Polymorph energy (0 for the lowest one): 868 meV per atom
Space-group type: Fm-3m
Total moment: 0.0 μB/f.u.
Raw formation energy: 721 meV/atom
Fermi-level density of states: 2.49 states/eV/cell



4.
Computed, not measured: a geometry-optimized AlPBr2 structure at the GGA-PBE level of DFT.

POSCAR file:
```
AlPBr2
1.0
-4.697 -8.272 1.247
-2.430 -8.519 3.685
-5.263 -6.832 4.205
P Al Br
1 1 2
direct
0.500 0.500 0.500
0.000 0.000 0.000
0.090 0.090 0.090
0.910 0.910 0.910
```

Polymorph energy (0 for the lowest one): 1074 meV per atom
Space-group type: R-3m
Total moment: 0.0 μB/f.u.
Raw formation energy: 481 meV/atom
Fermi-level density of states: 2.63 states/eV/cell



5.
Computed, not measured: a geometry-optimized AlP3Br structure at the GGA-PBE level of DFT.

POSCAR file:
```
AlP3Br
1.0
-1.677 -3.215 2.996
3.701 -2.762 -0.892
2.369 2.039 3.515
P Br Al
3 1 1
direct
0.000 0.000 0.500
0.000 0.500 0.000
0.500 0.000 0.000
0.500 0.500 0.500
0.000 0.000 0.000
```

Polymorph energy (0 for the lowest one): 0 meV per atom
Space-group type: Pm-3m
Total moment: 0.0 μB/f.u.
Raw formation energy: 812 meV/atom
Fermi-level density of states: 5.22 states/eV/cell



6.
Computed, not measured: a geometry-optimized Al3PBr12 structure at the GGA-PBE level of DFT.

POSCAR file:
```
Al3PBr12
1.0
11.124 0.000 0.000
-5.562 9.634 0.000
0.000 0.000 20.991
Br Al P
36 9 3
direct
0.769 0.805 0.025
0.036 0.129 0.247
0.093 0.964 0.913
0.871 0.907 0.580
0.388 0.543 0.607
0.860 0.254 0.540
0.385 0.450 0.248
0.612 0.155 0.060
0.236 0.685 0.479
0.457 0.845 0.940
0.907 0.871 0.753
0.746 0.606 0.874
0.615 0.065 0.419
0.550 0.935 0.581
0.315 0.551 0.813
0.450 0.385 0.086
0.551 0.315 0.521
0.606 0.746 0.460
0.254 0.860 0.793
0.140 0.394 0.126
0.685 0.236 0.854
0.449 0.764 0.146
0.195 0.964 0.358
0.805 0.769 0.309
0.231 0.036 0.642
0.036 0.231 0.691
0.764 0.449 0.187
0.394 0.140 0.207
0.935 0.550 0.752
0.964 0.093 0.420
0.065 0.615 0.914
0.155 0.612 0.273
0.129 0.036 0.087
0.964 0.195 0.975
0.845 0.457 0.393
0.543 0.388 0.727
0.580 0.284 0.134
0.971 0.000 0.000
0.420 0.703 0.533
0.029 0.029 0.667
0.284 0.580 0.200
0.000 0.971 0.333
0.703 0.420 0.800
0.716 0.297 0.467
0.297 0.716 0.866
0.000 0.741 0.833
0.741 0.000 0.500
0.259 0.259 0.167
```

Space-group type: P3_121
Total moment: 0.0 μB/f.u.
Raw formation energy: -848 meV/atom
Fermi-level density of states: 0.00 states/eV/cell



7.
Computed, not measured: a geometry-optimized AlPBr2 structure at the GGA-PBE level of DFT.

POSCAR file:
```
AlPBr2
1.0
3.597 0.000 0.000
0.000 3.597 0.000
0.000 0.000 8.404
P Al Br
1 1 2
direct
0.000 0.000 0.662
0.500 0.500 0.591
0.000 0.000 0.928
0.500 0.500 0.319
```

Polymorph energy (0 for the lowest one): 199 meV per atom
Space-group type: P4mm
Total moment: 0.0 μB/f.u.
Raw formation energy: -393 meV/atom
Fermi-level density of states: 1.25 states/eV/cell



8.
Computed, not measured: a geometry-optimized AlP2Br structure at the GGA-PBE level of DFT.

POSCAR file:
```
AlP2Br
1.0
6.684 -0.174 0.000
-4.806 4.648 0.000
0.000 0.000 2.737
P Al Br
2 1 1
direct
0.000 0.000 0.000
0.500 0.500 0.000
0.500 0.000 0.500
0.000 0.500 0.500
```

Polymorph energy (0 for the lowest one): 700 meV per atom
Space-group type: Cmmm
Total moment: 0.0 μB/f.u.
Raw formation energy: 554 meV/atom
Fermi-level density of states: 2.25 states/eV/cell



> Look up the Fermi-level density of states of the seventh one.

1.25 states/eV/cell



> Which value of Fermi-level density of states does entry 1 give?

2.31 states/eV/cell



> Look up the total moment of the second one.

0.0 μB/f.u.